(1)
Compound: InBiPb
Source: Alexandria via LeMat-Bulk
Functional: PBE
Structure: optimized geometry

Cell and atoms, written as extended XYZ:
```
12
Lattice="7.224 0.000 0.000 0.000 5.856 0.000 -2.642 0.000 9.032" Properties=species:S:1:pos:R:3 pbc="T T T"
In 0.055 0.000 3.820
In 0.915 2.928 5.212
In 3.667 2.928 3.820
In 4.528 0.000 5.212
Bi -1.934 2.928 6.677
Bi 2.905 0.000 2.355
Bi 1.678 0.000 6.677
Bi 6.517 2.928 2.355
Pb -1.149 0.000 8.190
Pb 2.120 2.928 0.841
Pb 2.463 2.928 8.190
Pb 5.732 0.000 0.841
```

Space-group type: C2/m
Calculated formation energy, eV per atom: 0.053
Relative energy among the computed polymorphs, eV per atom: 0.032

=====

(2)
Compound: PrHoEr2Sb4
Source: Alexandria via LeMat-Bulk
Functional: PBE
Structure: optimized geometry

Cell and atoms, written as extended XYZ:
```
16
Lattice="6.238 0.000 0.000 0.000 6.238 0.000 0.000 0.000 12.473" Properties=species:S:1:pos:R:3 pbc="T T T"
Pr 0.000 0.000 0.000
Pr 3.119 3.119 6.236
Ho 0.000 0.000 6.236
Ho 3.119 3.119 0.000
Er 0.000 3.119 3.118
Er 0.000 3.119 9.355
Er 3.119 0.000 3.118
Er 3.119 0.000 9.355
Sb 0.000 0.000 3.173
Sb 0.000 0.000 9.299
Sb 0.000 3.119 0.000
Sb 0.000 3.119 6.236
Sb 3.119 0.000 0.000
Sb 3.119 0.000 6.236
Sb 3.119 3.119 3.063
Sb 3.119 3.119 9.410
```

E_form (uncorrected), eV per atom: -1.109
Space-group type: I4/mmm

=====

(3)
Compound: LaScNi2
Source: Alexandria via LeMat-Bulk
Functional: PBE
Structure: optimized geometry

Cell and atoms, written as extended XYZ:
```
8
Lattice="7.698 0.000 0.000 0.000 4.430 0.000 -2.578 0.000 4.761" Properties=species:S:1:pos:R:3 pbc="T T T"
La 0.000 0.000 0.000
La 3.849 2.215 0.000
Sc -1.289 2.215 2.381
Sc 2.560 0.000 2.381
Ni -0.005 0.000 2.997
Ni 1.276 2.215 1.764
Ni 3.844 2.215 2.997
Ni 5.124 0.000 1.764
```

Space-group type: C2/m
Calculated formation energy, eV per atom: -0.337
Relative energy among the computed polymorphs, eV per atom: 0.025

=====

(4)
Compound: Ca4Pa3NiN8
Source: Alexandria via LeMat-Bulk
Functional: PBE
Structure: optimized geometry

Cell and atoms, written as extended XYZ:
```
16
Lattice="6.102 -3.444 0.000 6.102 3.444 0.000 -3.863 0.000 5.728" Properties=species:S:1:pos:R:3 pbc="T T T"
Ca 0.000 0.000 0.000
Ca 1.119 1.722 2.864
Ca 1.119 -1.722 2.864
Ca 6.102 0.000 0.000
Pa -1.932 0.000 2.864
Pa 3.051 1.722 0.000
Pa 3.051 -1.722 0.000
Ni 4.170 0.000 2.864
N 4.906 1.800 1.436
N 2.101 0.000 1.144
N -0.004 0.000 4.322
N 3.435 1.800 4.292
N 4.906 -1.800 1.436
N 8.345 0.000 1.406
N 6.240 0.000 4.584
N 3.435 -1.800 4.292
```

E_form (uncorrected), eV per atom: -1.195
Space-group type: C2/m

=====

(5)
Compound: Pm3Dy4Tm
Source: Alexandria via LeMat-Bulk
Functional: PBE
Structure: optimized geometry

Cell and atoms, written as extended XYZ:
```
16
Lattice="23.515 0.000 0.000 0.000 3.479 0.000 -1.917 0.000 6.449" Properties=species:S:1:pos:R:3 pbc="T T T"
Pm 0.000 0.000 0.000
Pm 1.288 0.000 5.610
Pm 8.552 1.739 0.839
Pm 11.757 1.739 0.000
Pm 13.045 1.739 5.610
Pm 20.309 0.000 0.839
Dy 2.188 0.000 2.477
Dy 4.244 1.739 4.734
Dy 5.596 0.000 1.715
Dy 7.651 1.739 3.972
Dy 13.946 1.739 2.477
Dy 16.001 0.000 4.734
Dy 17.353 1.739 1.715
Dy 19.409 0.000 3.972
Tm -0.959 1.739 3.224
Tm 10.799 0.000 3.224
```

Space-group type: C2/m
Calculated formation energy, eV per atom: 0.160
Relative energy among the computed polymorphs, eV per atom: 0.159

=====

(6)
Compound: Y2ZrRh
Source: Alexandria via LeMat-Bulk
Functional: PBE
Structure: optimized geometry

Cell and atoms, written as extended XYZ:
```
12
Lattice="3.559 0.000 0.000 -1.780 3.082 0.000 0.000 0.000 28.570" Properties=species:S:1:pos:R:3 pbc="T T T"
Y 0.000 0.000 0.000
Y 0.000 0.000 6.325
Y 0.000 2.055 19.046
Y 0.000 2.055 25.371
Y 1.780 1.027 9.523
Y 1.780 1.027 15.848
Zr 0.000 0.000 13.139
Zr 0.000 2.055 3.616
Zr 1.780 1.027 22.662
Rh 0.000 0.000 20.971
Rh 0.000 2.055 11.447
Rh 1.780 1.027 1.924
```

Space-group type: R3m
Calculated formation energy, eV per atom: -0.216
Relative energy among the computed polymorphs, eV per atom: 0.177

=====

(7)
Compound: MnNi6As
Source: Alexandria via LeMat-Bulk
Functional: PBE
Structure: optimized geometry

Cell and atoms, written as extended XYZ:
```
8
Lattice="5.063 0.000 0.000 0.000 5.063 0.000 0.000 0.000 3.573" Properties=species:S:1:pos:R:3 pbc="T T T"
Mn 0.000 0.000 0.000
Ni 0.000 2.532 0.000
Ni 1.258 1.258 1.786
Ni 1.258 3.805 1.786
Ni 2.532 0.000 0.000
Ni 3.805 1.258 1.786
Ni 3.805 3.805 1.786
As 2.532 2.532 0.000
```

Space-group type: P4/mmm
Calculated formation energy, eV per atom: -0.136
Relative energy among the computed polymorphs, eV per atom: 0.000

=====

(8)
Compound: PmYNiPd
Source: Alexandria via LeMat-Bulk
Functional: PBE
Structure: optimized geometry

Cell and atoms, written as extended XYZ:
```
8
Lattice="4.450 0.000 0.000 0.000 3.840 0.000 0.000 0.000 10.440" Properties=species:S:1:pos:R:3 pbc="T T T"
Pm 0.000 0.000 0.000
Pm 0.000 1.920 5.220
Y 2.225 0.000 2.903
Y 2.225 1.920 8.123
Ni 0.000 0.000 7.533
Ni 0.000 1.920 2.313
Pd 2.225 0.000 5.889
Pd 2.225 1.920 0.669
```

Space-group type: Amm2
Calculated formation energy, eV per atom: -0.610
Relative energy among the computed polymorphs, eV per atom: 0.000

=====

Number 1: energy -40.67 eV per cell. Number 2: energy -87.68 eV per cell. Number 3: energy -48.34 eV per cell. Number 4: energy -127.99 eV per cell. Number 5: energy -71.70 eV per cell. Number 6: energy -89.07 eV per cell. Number 7: energy -49.60 eV per cell. Number 8: energy -49.26 eV per cell.